1.
Here is MnIrCl at its PBEsol-relaxed geometry from the Alexandria database. Energies are from meta-GGA SCAN.

Geometry as CIF:
```
data_MnIrCl
_chemical_formula_sum 'Mn1 Ir1 Cl1'
_cell_length_a 2.8537
_cell_length_b 2.8537
_cell_length_c 6.2704
_cell_angle_alpha 90.00
_cell_angle_beta 90.00
_cell_angle_gamma 120.00
_space_group_name_H-M_alt 'P 3 m 1'
_space_group_IT_number 156
_space_group_name_Hall 'P 3 -2"'
loop_
_atom_site_label
_atom_site_fract_x
_atom_site_fract_y
_atom_site_fract_z
Mn1 0.0000 0.0000 0.0000
Ir1 0.6667 0.3333 0.3017
Cl1 0.3333 0.6667 0.7419
```

Values from the calculation:
V: 14.7 Å³/atom
Excess energy over the best structure of this formula in the dataset: 0.0000 eV per atom
Uncorrected formation energy: -0.064 eV/atom
E_tot: -32.508 eV per atom

---

2.
Here is MnIrCl2 at its PBEsol-relaxed geometry from the Alexandria database. Energies are from meta-GGA SCAN.

Geometry as CIF:
```
data_MnIrCl2
_chemical_formula_sum 'Mn1 Ir1 Cl2'
_cell_length_a 4.332
_cell_length_b 4.332
_cell_length_c 3.225
_cell_angle_alpha 90.00
_cell_angle_beta 90.00
_cell_angle_gamma 90.00
_space_group_name_H-M_alt 'P 4/m m m'
_space_group_IT_number 123
_space_group_name_Hall '-P 4 2'
loop_
_atom_site_label
_atom_site_fract_x
_atom_site_fract_y
_atom_site_fract_z
Mn1 0.000 0.000 0.000
Ir1 0.500 0.500 0.000
Cl1 0.000 0.500 0.500
```

Values from the calculation:
V: 15.1 Å³/atom
Excess energy over the best structure of this formula in the dataset: 0.7934 eV per atom
Uncorrected formation energy: 0.503 eV/atom
E_tot: -25.824 eV per atom

---

Sequential spin magnetization output: 4.3; 4.7 μB/cell